Compound: Rb3NiAu
Source: Alexandria
Functional: PBE
Structure: relaxed

Cell lengths 6.2113, 6.2113, 6.2113 Å; angles 90.00, 90.00, 90.00 degrees
Last column: nearest neighbours and their distance in Å.
Element x y z (fractional)
Rb  0.0000  0.0000  0.5000  2 Ni 3.11
Rb  0.0000  0.5000  0.0000  2 Ni 3.11
Rb  0.5000  0.0000  0.0000  2 Ni 3.11
Ni  0.0000  0.0000  0.0000  6 Rb 3.11
Au  0.5000  0.5000  0.5000  12 Rb 4.39

Relative energy among the computed polymorphs = 0 meV/atom
Formation enthalpy at 0 K = 400 meV per atom
Symmetry = Pm-3m, No. 221
Energy = -1.99 eV per atom